Compound: SrZrSb2I
Source: Alexandria via LeMat-Bulk
Functional: GGA-PBE
Structure: optimized geometry

Lattice parameters (Å, degrees): 5.952 5.952 5.935 90.00 90.00 90.00
Atoms (fractional coordinates):
I (0.000, 0.000, 0.500)
Sb (0.000, 0.500, 0.000)
Sb (0.500, 0.000, 0.000)
Zr (0.500, 0.500, 0.500)
Sr (0.000, 0.000, 0.000)

Results
Its crystal system is tetragonal. The value obtained for the density of states at the Fermi level is 5.6 states/eV/cell. The volume comes out at 42.06 A^3/atom. The excess energy over the best structure of this formula in the dataset comes out at 1279 meV/atom. The density is 4.34 Mg/m³. Its space-group type is P4/mmm (123).

***

Compound: TaSbI2
Source: Alexandria via LeMat-Bulk
Functional: GGA-PBE
Structure: optimized geometry

Lattice parameters (Å, degrees): 5.186 5.186 5.186 60.00 60.00 60.00
Atoms (fractional coordinates):
I (0.250, 0.250, 0.250)
I (0.750, 0.750, 0.750)
Sb (0.000, 0.000, 0.000)
Ta (0.500, 0.500, 0.500)

Results
Its crystal system is cubic. The value obtained for the density of states at the Fermi level is 3.9 states/eV/cell. The volume comes out at 24.66 A^3/atom. The density is 9.37 Mg/m³. Its space-group type is Fm-3m (225).

***

Compound: TaSbI3
Source: Alexandria via LeMat-Bulk
Functional: GGA-PBE
Structure: optimized geometry

Lattice parameters (Å, degrees): 6.009 6.009 6.009 90.00 90.00 90.00
Atoms (fractional coordinates):
I (0.000, 0.500, 0.000)
I (0.000, 0.000, 0.500)
I (0.500, 0.000, 0.000)
Sb (0.000, 0.000, 0.000)
Ta (0.500, 0.500, 0.500)

Results
Its crystal system is cubic. The value obtained for the density of states at the Fermi level is 10.4 states/eV/cell. The volume comes out at 43.38 A^3/atom. The excess energy over the best structure of this formula in the dataset comes out at 670 meV/atom. The density is 5.23 Mg/m³. Its space-group type is Pm-3m (221).

***

Compound: TaSb3I
Source: Alexandria via LeMat-Bulk
Functional: GGA-PBE
Structure: optimized geometry

Lattice parameters (Å, degrees): 5.385 5.385 5.385 90.00 90.00 90.00
Atoms (fractional coordinates):
I (0.500, 0.500, 0.500)
Sb (0.000, 0.500, 0.000)
Sb (0.000, 0.000, 0.500)
Sb (0.500, 0.000, 0.000)
Ta (0.000, 0.000, 0.000)

Results
Its crystal system is cubic. The value obtained for the density of states at the Fermi level is 3.1 states/eV/cell. The volume comes out at 31.23 A^3/atom. The excess energy over the best structure of this formula in the dataset comes out at 0 meV/atom. The density is 7.16 Mg/m³. Its space-group type is Pm-3m (221).

***

Uncorrected formation energy, record by record: 75.7; 85.8; 118.8; 24.3 kJ/mol of atoms